KCu2As | meta-GGA SCAN | single point on PBEsol structure

a = 7.2551 Å, b = 4.1824 Å, c = 6.2892 Å
α = 90.00°, β = 112.07°, γ = 90.00°
Closest atoms and distances in Å follow each position.
Space group Cm (No. 8)
Asymmetric unit:
K (0.0000, 0.0000, 0.0000) [2 per cell]  1 Cu 3.15, 4 As 3.30-3.50
Cu (0.3204, 0.5000, 0.4587) [2 per cell]  3 Cu 2.42, 3 As 2.49-2.50
Cu (0.4965, 0.0000, 0.4875) [2 per cell]  3 Cu 2.42, 3 As 2.46
As (0.1891, 0.0000, 0.5662) [2 per cell]  6 Cu 2.46-2.50

Summary:
The calculation puts the energy of formation at -0.191 eV/atom.